The following is a PBE with a Hubbard U calculation of a relaxed Tl2CoOsO6 crystal, from Alexandria.

Lattice parameters (Å, degrees): 6.106 6.106 4.921 90.00 90.00 120.00
Fractional positions:
Tl: 0.333 0.667 0.191
Tl: 0.667 0.333 0.809
Co: 0.000 0.000 0.000
Os: 0.000 0.000 0.500
O: 0.140 0.280 0.749
O: 0.140 0.860 0.749
O: 0.280 0.140 0.251
O: 0.720 0.860 0.749
O: 0.860 0.140 0.251
O: 0.860 0.720 0.251

- SG: P-3m1
- Magnetization: 1.1 μB/cell
- Calculated density: 7.88 Mg/m³
- E: -58.539 eV for the cell shown